Record 1
Ho3Cu2Au4 after structural relaxation. Source: the Alexandria database, functional PBE.

Calculated values
As for the total DFT energy (no corrections): -80.24 eV for the cell shown. As for the space group: C2/c (15).

Geometry as POSCAR:
```
Ho3Cu2Au4
1.0
6.893 -5.362 0.000
6.893 5.362 0.000
-1.436 0.000 5.030
Ho Cu Au
6 4 8
direct
0.118 0.882 0.750 Ho
0.188 0.467 0.855 Ho
0.467 0.188 0.355 Ho
0.533 0.812 0.645 Ho
0.812 0.533 0.145 Ho
0.882 0.118 0.250 Ho
0.045 0.767 0.197 Cu
0.233 0.955 0.303 Cu
0.767 0.045 0.697 Cu
0.955 0.233 0.803 Cu
0.124 0.305 0.272 Au
0.305 0.124 0.772 Au
0.312 0.573 0.453 Au
0.427 0.688 0.047 Au
0.573 0.312 0.953 Au
0.688 0.427 0.547 Au
0.695 0.876 0.228 Au
0.876 0.695 0.728 Au
```

=====

Record 2
TaBiPd after structural relaxation. Source: the Alexandria database, functional PBE.

Calculated values
As for the total DFT energy (no corrections): -42.67 eV for the cell shown. As for the space group: I4/mmm (139).

Geometry as POSCAR:
```
TaBiPd
1.0
-2.068 2.068 7.320
2.068 -2.068 7.320
2.068 2.068 -7.320
Ta Bi Pd
2 2 2
direct
0.000 0.500 0.500 Ta
0.500 0.000 0.500 Ta
0.163 0.163 0.000 Bi
0.837 0.837 0.000 Bi
0.368 0.368 0.000 Pd
0.632 0.632 0.000 Pd
```

=====

Record 3
K2LiHgH after structural relaxation. Source: the Alexandria database, functional PBE.

Calculated values
The polymorph energy (0 for the lowest one) comes out at 0.00 kJ per mole of atoms. As for the space group: P4/mmm (123).

Geometry as POSCAR:
```
K2LiHgH
1.0
5.883 0.000 0.000
0.000 5.883 0.000
0.000 0.000 4.145
K Li Hg H
2 1 1 1
direct
0.000 0.500 0.000 K
0.500 0.000 0.000 K
0.000 0.000 0.500 Li
0.500 0.500 0.500 Hg
0.000 0.000 0.000 H
```

=====

Record 4
Ce2GdN after structural relaxation. Source: the Alexandria database, functional PBE.

Calculated values
The formation energy without anion corrections comes out at -0.292 eV/atom. As for the space group: P4/mmm (123).

Geometry as POSCAR:
```
Ce2GdN
1.0
3.122 0.000 0.000
0.000 3.122 0.000
0.000 0.000 9.016
Ce Gd N
2 1 1
direct
0.000 0.000 0.158 Ce
0.000 0.000 0.842 Ce
0.500 0.500 0.500 Gd
0.500 0.500 0.000 N
```

=====

Record 5
PmBeC after structural relaxation. Source: the Alexandria database, functional PBE.

Calculated values
The polymorph energy (0 for the lowest one) comes out at 7.51 kJ per mole of atoms. As for the space group: Pnma (62).

Geometry as POSCAR:
```
PmBeC
1.0
5.345 0.000 0.000
0.000 3.332 0.000
0.000 0.000 10.180
Pm Be C
4 4 4
direct
0.106 0.250 0.142 Pm
0.394 0.750 0.642 Pm
0.606 0.250 0.358 Pm
0.894 0.750 0.858 Pm
0.080 0.750 0.434 Be
0.420 0.250 0.934 Be
0.580 0.750 0.066 Be
0.920 0.250 0.566 Be
0.219 0.250 0.478 C
0.281 0.750 0.978 C
0.719 0.250 0.022 C
0.781 0.750 0.522 C
```

=====

Record 6
Zr4RhO after structural relaxation. Source: the Alexandria database, functional PBE.

Calculated values
The formation energy without anion corrections comes out at -0.972 eV/atom. The polymorph energy (0 for the lowest one) comes out at 1.57 kJ per mole of atoms. As for the space group: Pmmn (59).

Geometry as POSCAR:
```
Zr4RhO
1.0
4.524 0.000 0.000
0.000 8.333 0.000
0.000 0.000 6.271
Zr Rh O
8 2 2
direct
0.250 0.039 0.200 Zr
0.250 0.250 0.747 Zr
0.250 0.461 0.200 Zr
0.250 0.750 0.574 Zr
0.750 0.250 0.426 Zr
0.750 0.539 0.800 Zr
0.750 0.750 0.253 Zr
0.750 0.961 0.800 Zr
0.250 0.750 0.022 Rh
0.750 0.250 0.978 Rh
0.250 0.250 0.405 O
0.750 0.750 0.595 O
```